[1]
Density functional theory data (meta-GGA SCAN) for a crystal of Na3Sb3P2O14 relaxed with PBEsol.

Results
Magnetic moment ... 0.0 μB/cell
Calculated volume ... 543.5 Å³/cell
Formation energy (no corrections) ... -2.034 eV/atom

abc: 6.327 7.253 12.085
angles: 90.00 101.51 90.00
Fractional positions:
1 Na 0.417 0.702 0.932
2 Na 0.000 0.500 0.000
3 Na 0.500 0.000 0.500
4 Na 0.583 0.298 0.068
5 Na 0.083 0.202 0.568
6 Na 0.917 0.798 0.432
7 Sb 0.773 0.743 0.742
8 Sb 0.000 0.000 0.000
9 Sb 0.500 0.500 0.500
10 Sb 0.227 0.257 0.258
11 Sb 0.727 0.243 0.758
12 Sb 0.273 0.757 0.242
13 O 0.459 0.777 0.753
14 O 0.718 0.451 0.399
15 O 0.635 0.299 0.596
16 O 0.085 0.693 0.739
17 O 0.700 0.690 0.578
18 O 0.782 0.951 0.101
19 O 0.311 0.392 0.919
20 O 0.689 0.608 0.081
21 O 0.915 0.307 0.261
22 O 0.231 0.001 0.306
23 O 0.269 0.501 0.194
24 O 0.135 0.201 0.096
25 O 0.200 0.810 0.078
26 O 0.811 0.108 0.419
27 O 0.865 0.799 0.904
28 O 0.189 0.892 0.581
29 O 0.300 0.310 0.422
30 O 0.282 0.549 0.601
31 O 0.959 0.723 0.253
32 O 0.800 0.190 0.922
33 O 0.731 0.499 0.806
34 O 0.041 0.277 0.747
35 O 0.541 0.223 0.247
36 O 0.585 0.807 0.239
37 O 0.415 0.193 0.761
38 O 0.365 0.701 0.404
39 O 0.218 0.049 0.899
40 O 0.769 0.999 0.694
41 P 0.250 0.736 0.663
42 P 0.750 0.764 0.163
43 P 0.250 0.236 0.837
44 P 0.750 0.264 0.337



[2]
Density functional theory data (meta-GGA SCAN) for a crystal of Na3SbP2O9 relaxed with PBEsol.

Results
Magnetic moment ... 0.3 μB/cell
Calculated volume ... 811.7 Å³/cell
Formation energy (no corrections) ... -2.266 eV/atom

abc: 7.019 9.300 12.436
angles: 90.00 90.00 90.00
Fractional positions:
1 O 0.277 0.193 0.057
2 O 0.240 0.836 0.181
3 O 0.452 0.460 0.972
4 O 0.740 0.664 0.819
5 O 0.723 0.693 0.443
6 O 0.048 0.540 0.472
7 O 0.777 0.307 0.943
8 O 0.548 0.960 0.528
9 O 0.740 0.186 0.543
10 O 0.594 0.045 0.012
11 O 0.747 0.992 0.197
12 O 0.455 0.213 0.843
13 O 0.910 0.698 0.647
14 O 0.792 0.530 0.169
15 O 0.045 0.787 0.343
16 O 0.260 0.164 0.681
17 O 0.590 0.302 0.147
18 O 0.906 0.955 0.512
19 O 0.223 0.807 0.557
20 O 0.760 0.336 0.319
21 O 0.208 0.030 0.331
22 O 0.094 0.455 0.988
23 O 0.253 0.492 0.303
24 O 0.406 0.545 0.488
25 O 0.955 0.287 0.157
26 O 0.952 0.040 0.028
27 O 0.292 0.970 0.831
28 O 0.708 0.470 0.669
29 O 0.240 0.314 0.457
30 O 0.753 0.008 0.697
31 O 0.760 0.814 0.043
32 O 0.260 0.686 0.957
33 O 0.545 0.713 0.657
34 O 0.247 0.508 0.803
35 O 0.410 0.802 0.353
36 O 0.090 0.198 0.853
37 Na 0.818 0.256 0.742
38 Na 0.877 0.106 0.342
39 Na 0.623 0.894 0.842
40 Na 0.757 0.584 0.985
41 Na 0.377 0.394 0.658
42 Na 0.243 0.084 0.515
43 Na 0.318 0.244 0.258
44 Na 0.182 0.756 0.758
45 Na 0.257 0.916 0.015
46 Na 0.682 0.744 0.242
47 Na 0.123 0.606 0.158
48 Na 0.743 0.416 0.485
49 P 0.264 0.531 0.922
50 P 0.774 0.373 0.202
51 P 0.736 0.031 0.578
52 P 0.226 0.873 0.298
53 P 0.726 0.627 0.702
54 P 0.236 0.469 0.422
55 P 0.274 0.127 0.798
56 P 0.764 0.969 0.078
57 Sb 0.477 0.754 0.504
58 Sb 0.977 0.746 0.496
59 Sb 0.023 0.246 0.004
60 Sb 0.523 0.254 0.996



[3]
Density functional theory data (meta-GGA SCAN) for a crystal of Na4Sc2P3O12 relaxed with PBEsol.

Results
Magnetic moment ... 2.0 μB/cell
Calculated volume ... 510.2 Å³/cell
Formation energy (no corrections) ... -2.782 eV/atom

abc: 8.746 8.746 8.746
angles: 63.55 63.55 63.55
Fractional positions:
1 P 0.060 0.440 0.750
2 P 0.440 0.750 0.060
3 P 0.560 0.250 0.940
4 P 0.940 0.560 0.250
5 P 0.250 0.940 0.560
6 P 0.750 0.060 0.440
7 O 0.201 0.970 0.398
8 O 0.422 0.590 0.235
9 O 0.590 0.235 0.422
10 O 0.578 0.410 0.765
11 O 0.030 0.602 0.799
12 O 0.299 0.102 0.530
13 O 0.765 0.578 0.410
14 O 0.701 0.898 0.470
15 O 0.410 0.765 0.578
16 O 0.530 0.299 0.102
17 O 0.398 0.201 0.970
18 O 0.799 0.030 0.602
19 O 0.102 0.530 0.299
20 O 0.090 0.922 0.735
21 O 0.922 0.735 0.090
22 O 0.602 0.799 0.030
23 O 0.078 0.265 0.910
24 O 0.735 0.090 0.922
25 O 0.265 0.910 0.078
26 O 0.898 0.470 0.701
27 O 0.235 0.422 0.590
28 O 0.970 0.398 0.201
29 O 0.910 0.078 0.265
30 O 0.470 0.701 0.898
31 Na 0.750 0.389 0.111
32 Na 0.611 0.889 0.250
33 Na 0.500 0.500 0.500
34 Na 0.000 0.000 0.000
35 Na 0.111 0.750 0.389
36 Na 0.250 0.611 0.889
37 Na 0.889 0.250 0.611
38 Na 0.389 0.111 0.750
39 Sc 0.156 0.156 0.156
40 Sc 0.656 0.656 0.656
41 Sc 0.344 0.344 0.344
42 Sc 0.844 0.844 0.844



[4]
Density functional theory data (meta-GGA SCAN) for a crystal of Na5Ti2Si2PO13 relaxed with PBEsol.

Results
Magnetic moment ... 0.0 μB/cell
Calculated volume ... 544.6 Å³/cell
Formation energy (no corrections) ... -2.814 eV/atom

abc: 5.408 7.101 14.500
angles: 99.96 96.55 90.62
Fractional positions:
1 Na 0.675 0.460 0.396
2 Na 0.757 0.258 0.583
3 Na 0.176 0.421 0.232
4 Na 0.243 0.742 0.417
5 Na 0.757 0.878 0.000
6 Na 0.322 0.032 0.638
7 Na 0.824 0.579 0.768
8 Na 0.678 0.968 0.362
9 Na 0.325 0.540 0.604
10 Na 0.243 0.122 0.000
11 Ti 0.826 0.071 0.778
12 Ti 0.174 0.929 0.222
13 Ti 0.223 0.616 0.010
14 Ti 0.777 0.384 0.990
15 O 0.919 0.577 0.932
16 O 0.051 0.874 0.793
17 O 0.640 0.200 0.063
18 O 0.140 0.826 0.092
19 O 0.098 0.239 0.757
20 O 0.748 0.598 0.612
21 O 0.765 0.967 0.636
22 O 0.319 0.571 0.768
23 O 0.546 0.907 0.789
24 O 0.588 0.605 0.082
25 O 0.949 0.126 0.207
26 O 0.589 0.273 0.750
27 O 0.411 0.727 0.250
28 O 0.081 0.423 0.068
29 O 0.898 0.225 0.440
30 O 0.412 0.395 0.918
31 O 0.252 0.402 0.388
32 O 0.860 0.174 0.908
33 O 0.102 0.775 0.560
34 O 0.235 0.033 0.364
35 O 0.360 0.800 0.937
36 O 0.668 0.770 0.473
37 O 0.681 0.429 0.232
38 O 0.454 0.093 0.211
39 O 0.902 0.761 0.243
40 O 0.332 0.230 0.527
41 Si 0.323 0.796 0.824
42 Si 0.677 0.204 0.176
43 Si 0.647 0.641 0.198
44 Si 0.353 0.359 0.802
45 P 0.178 0.226 0.430
46 P 0.822 0.774 0.570



[5]
Density functional theory data (meta-GGA SCAN) for a crystal of Na5Zr4Si3P3O24 relaxed with PBEsol.

Results
Magnetic moment ... 0.0 μB/cell
Calculated volume ... 531.9 Å³/cell
Formation energy (no corrections) ... -3.003 eV/atom

abc: 9.045 9.045 9.145
angles: 60.36 60.36 60.00
Fractional positions:
1 Na 0.858 0.142 0.500
2 Na 0.500 0.858 0.500
3 Na 0.252 0.252 0.245
4 Na 0.748 0.748 0.755
5 Na 0.142 0.500 0.500
6 O 0.313 0.523 0.002
7 O 0.238 0.609 0.671
8 O 0.517 0.391 0.329
9 O 0.822 0.674 0.478
10 O 0.838 0.477 0.998
11 O 0.762 0.517 0.329
12 O 0.162 0.313 0.002
13 O 0.477 0.687 0.998
14 O 0.523 0.162 0.002
15 O 0.142 0.742 0.168
16 O 0.391 0.762 0.329
17 O 0.052 0.258 0.832
18 O 0.674 0.026 0.478
19 O 0.483 0.238 0.671
20 O 0.742 0.948 0.168
21 O 0.687 0.838 0.998
22 O 0.858 0.052 0.832
23 O 0.178 0.974 0.522
24 O 0.948 0.142 0.168
25 O 0.609 0.483 0.671
26 O 0.258 0.858 0.832
27 O 0.026 0.822 0.478
28 O 0.974 0.326 0.522
29 O 0.326 0.178 0.522
30 Si 0.791 0.500 0.500
31 Si 0.500 0.209 0.500
32 Si 0.209 0.791 0.500
33 Zr 0.101 0.101 0.696
34 Zr 0.604 0.604 0.187
35 Zr 0.899 0.899 0.304
36 Zr 0.396 0.396 0.813
37 P 0.700 0.000 0.000
38 P 0.000 0.300 0.000
39 P 0.300 0.700 0.000



[6]
Density functional theory data (meta-GGA SCAN) for a crystal of Na3Zr2Si2PO12 relaxed with PBEsol.

Results
Magnetic moment ... 0.0 μB/cell
Calculated volume ... 537.2 Å³/cell
Formation energy (no corrections) ... -3.011 eV/atom

abc: 9.074 9.074 9.141
angles: 60.51 60.51 60.23
Fractional positions:
1 Zr 0.347 0.856 0.191
2 Zr 0.651 0.147 0.307
3 Zr 0.853 0.349 0.693
4 Zr 0.144 0.653 0.809
5 O 0.443 0.080 0.018
6 O 0.416 0.274 0.482
7 O 0.245 0.511 0.647
8 O 0.282 0.411 0.993
9 O 0.003 0.113 0.824
10 O 0.702 0.393 0.197
11 O 0.766 0.067 0.496
12 O 0.920 0.557 0.982
13 O 0.246 0.929 0.990
14 O 0.589 0.718 0.007
15 O 0.274 0.631 0.305
16 O 0.887 0.997 0.176
17 O 0.607 0.298 0.803
18 O 0.561 0.933 0.465
19 O 0.768 0.479 0.869
20 O 0.071 0.754 0.010
21 O 0.369 0.726 0.695
22 O 0.996 0.877 0.674
23 O 0.067 0.439 0.535
24 O 0.521 0.232 0.131
25 O 0.933 0.234 0.504
26 O 0.123 0.004 0.326
27 O 0.489 0.755 0.353
28 O 0.726 0.584 0.518
29 Na 0.599 0.401 0.500
30 Na 0.245 0.086 0.564
31 Na 0.914 0.755 0.436
32 Na 0.386 0.614 0.000
33 Na 0.994 0.481 0.239
34 Na 0.519 0.006 0.761
35 Si 0.051 0.949 0.000
36 Si 0.252 0.463 0.493
37 Si 0.537 0.748 0.507
38 Si 0.953 0.047 0.500
39 P 0.462 0.253 0.987
40 P 0.747 0.538 0.013



[7]
Density functional theory data (meta-GGA SCAN) for a crystal of NaSmP4O12 relaxed with PBEsol.

Results
Magnetic moment ... 0.0 μB/cell
Calculated volume ... 931.1 Å³/cell
Formation energy (no corrections) ... -2.717 eV/atom

abc: 7.207 9.854 13.112
angles: 90.00 90.00 89.47
Fractional positions:
1 P 0.376 0.235 0.115
2 P 0.232 0.700 0.908
3 P 0.268 0.800 0.408
4 P 0.750 0.743 0.602
5 P 0.732 0.200 0.592
6 P 0.124 0.265 0.615
7 P 0.853 0.304 0.872
8 P 0.250 0.243 0.898
9 P 0.353 0.804 0.628
10 P 0.147 0.696 0.128
11 P 0.624 0.765 0.885
12 P 0.750 0.757 0.102
13 P 0.250 0.257 0.398
14 P 0.768 0.300 0.092
15 P 0.647 0.196 0.372
16 P 0.876 0.735 0.385
17 Sm 0.013 0.023 0.219
18 Sm 0.987 0.977 0.781
19 Sm 0.513 0.523 0.281
20 Sm 0.487 0.477 0.719
21 O 0.571 0.835 0.626
22 O 0.801 0.600 0.352
23 O 0.908 0.796 0.666
24 O 0.679 0.345 0.366
25 O 0.134 0.150 0.689
26 O 0.788 0.906 0.110
27 O 0.279 0.896 0.710
28 O 0.221 0.604 0.210
29 O 0.264 0.583 0.838
30 O 0.430 0.707 0.388
31 O 0.217 0.636 0.021
32 O 0.929 0.665 0.126
33 O 0.429 0.165 0.374
34 O 0.717 0.136 0.479
35 O 0.783 0.788 0.487
36 O 0.764 0.083 0.662
37 O 0.413 0.793 0.919
38 O 0.366 0.350 0.189
39 O 0.092 0.204 0.334
40 O 0.321 0.655 0.634
41 O 0.212 0.094 0.890
42 O 0.301 0.100 0.148
43 O 0.592 0.704 0.166
44 O 0.866 0.850 0.311
45 O 0.070 0.793 0.888
46 O 0.283 0.288 0.013
47 O 0.288 0.406 0.390
48 O 0.717 0.712 0.987
49 O 0.570 0.293 0.612
50 O 0.071 0.335 0.874
51 O 0.587 0.207 0.081
52 O 0.199 0.400 0.648
53 O 0.179 0.845 0.134
54 O 0.779 0.396 0.790
55 O 0.783 0.364 0.979
56 O 0.736 0.417 0.162
57 O 0.930 0.207 0.112
58 O 0.236 0.917 0.338
59 O 0.913 0.293 0.581
60 O 0.699 0.900 0.852
61 O 0.087 0.707 0.419
62 O 0.712 0.594 0.610
63 O 0.283 0.864 0.521
64 O 0.821 0.155 0.866
65 O 0.217 0.212 0.513
66 O 0.634 0.650 0.811
67 O 0.721 0.104 0.290
68 O 0.408 0.296 0.834
69 Na 0.500 0.064 0.777
70 Na 0.000 0.564 0.723
71 Na 0.500 0.936 0.223
72 Na 0.000 0.436 0.277



[8]
Density functional theory data (meta-GGA SCAN) for a crystal of Na2SrP4O12 relaxed with PBEsol.

Results
Magnetic moment ... 0.0 μB/cell
Calculated volume ... 484.8 Å³/cell
Formation energy (no corrections) ... -2.636 eV/atom

abc: 5.004 9.843 9.843
angles: 90.00 90.00 90.00
Fractional positions:
1 O 0.868 0.890 0.390
2 O 0.770 0.562 0.288
3 O 0.868 0.390 0.110
4 O 0.230 0.288 0.562
5 O 0.132 0.610 0.110
6 O 0.770 0.788 0.062
7 O 0.230 0.438 0.288
8 O 0.230 0.938 0.212
9 O 0.132 0.110 0.390
10 O 0.770 0.062 0.212
11 O 0.132 0.890 0.610
12 O 0.770 0.712 0.562
13 O 0.132 0.390 0.890
14 O 0.230 0.712 0.438
15 O 0.868 0.610 0.890
16 O 0.230 0.062 0.788
17 O 0.770 0.438 0.712
18 O 0.230 0.212 0.062
19 O 0.770 0.938 0.788
20 O 0.868 0.110 0.610
21 O 0.230 0.788 0.938
22 O 0.770 0.288 0.438
23 O 0.230 0.562 0.712
24 O 0.770 0.212 0.938
25 P 0.000 0.000 0.713
26 P 0.000 0.713 0.000
27 P 0.000 0.213 0.500
28 P 0.000 0.000 0.287
29 P 0.000 0.287 0.000
30 P 0.000 0.500 0.787
31 P 0.000 0.787 0.500
32 P 0.000 0.500 0.213
33 Na 0.500 0.250 0.750
34 Na 0.500 0.250 0.250
35 Na 0.500 0.750 0.250
36 Na 0.500 0.750 0.750
37 Sr 0.500 0.000 0.000
38 Sr 0.500 0.500 0.500